Entry 1:
Compound: K2SnHgSe4
Source: Alexandria via LeMat-Bulk
Functional: GGA-PBEsol
Structure: optimized geometry

Computed properties:
The calculation puts the uncorrected formation energy at -0.7149 eV/atom. The size of the total moment comes out at 0.0 μB per formula unit.

Cell: 7.9778 7.9778 6.9628 Å, 90.00 90.00 90.00°
Closest atoms and distances in Å follow each position.
Space group I-42m (No. 121)
Inequivalent atoms, fractional coordinates:
K1 0.0000 0.5000 0.0000  8 Se 3.36-3.48, 2 K 3.48
Sn1 0.0000 0.0000 0.0000  4 Se 2.56
Hg1 0.0000 0.0000 0.5000  4 Se 2.71
Se1 0.1753 0.1753 0.7667  1 Sn 2.56, 1 Hg 2.71


Entry 2:
Compound: Ba4OF6
Source: Alexandria via LeMat-Bulk
Functional: GGA-PBEsol
Structure: optimized geometry

Computed properties:
The calculation puts the uncorrected formation energy at -3.5624 eV/atom. The size of the total moment comes out at 0.1 μB per formula unit.

Cell: 8.7938 8.7938 6.5769 Å, 90.00 90.00 120.00°
Closest atoms and distances in Å follow each position.
Space group P6_3mc (No. 186)
Inequivalent atoms, fractional coordinates:
Ba1 0.1831 0.3661 0.0000  1 O 2.41, 2 F 2.65
Ba2 0.3333 0.6667 0.4885  1 O 2.45, 3 F 2.64
O1 0.3333 0.6667 0.1152  4 Ba 2.41-2.45
F1 0.0664 0.5332 0.7449  3 Ba 2.64-2.74
F2 0.1502 0.3005 0.4037  4 Ba 2.65-2.84


Entry 3:
Compound: Zr2TcAg
Source: Alexandria via LeMat-Bulk
Functional: GGA-PBEsol
Structure: optimized geometry

Computed properties:
The size of the total moment comes out at 0.0 μB per formula unit. The formation energy is -0.027 eV/atom.

Cell: 10.5252 3.3774 4.5727 Å, 90.00 115.66 90.00°
Closest atoms and distances in Å follow each position.
Space group Cm (No. 8)
Inequivalent atoms, fractional coordinates:
Zr1 0.0000 0.0000 0.0000  2 Tc 2.68, 4 Ag 2.87
Zr2 0.2297 0.0000 0.7291  4 Tc 2.84, 4 Ag 3.05-3.18, 4 Zr 3.07-3.16
Tc1 0.2187 0.5000 0.2182  6 Zr 2.68-2.84, 2 Ag 2.86
Ag1 0.4617 0.0000 0.4617  2 Tc 2.86, 8 Zr 2.87-3.18